(1)
VASP calculation (GGA-PBE) on crystalline Li2TeN2 at its relaxed geometry.

Cell and atoms, written as CIF:
```
data_Li2TeN2
_symmetry_space_group_name_H-M 'C 1 2/m 1'
_symmetry_Int_Tables_number 12
_cell_length_a 7.8728
_cell_length_b 4.5601
_cell_length_c 7.3328
_cell_angle_alpha 90.00
_cell_angle_beta 106.92
_cell_angle_gamma 90.00
loop_
_symmetry_equiv_pos_as_xyz
'x,y,z'
'-x,-y,-z'
'-x,y,-z'
'x,-y,z'
'x+1/2,y+1/2,z'
'-x+1/2,-y+1/2,-z'
'-x+1/2,y+1/2,-z'
'x+1/2,-y+1/2,z'
loop_
_atom_site_label
_atom_site_fract_x
_atom_site_fract_y
_atom_site_fract_z
_atom_site_occupancy
Li1 0.1346 0.0000 0.3818 1
Te1 0.0000 0.5000 0.5000 1
N1 0.0304 0.0000 0.0790 1
```

Values from the calculation:
Magnetic moment: 0.0 μB/f.u.
Energy relative to the elements, uncorrected: -566 meV/atom

***

(2)
VASP calculation (GGA-PBE) on crystalline PmEr6In5 at its relaxed geometry.

Cell and atoms, written as CIF:
```
data_PmEr6In5
_symmetry_space_group_name_H-M 'I m m m'
_symmetry_Int_Tables_number 71
_symmetry_space_group_name_Hall '-I 2 2'
_cell_length_a 4.9641
_cell_length_b 8.7232
_cell_length_c 15.0136
_cell_angle_alpha 90.00
_cell_angle_beta 90.00
_cell_angle_gamma 90.00
loop_
_atom_site_label
_atom_site_fract_x
_atom_site_fract_y
_atom_site_fract_z
_atom_site_occupancy
Pm1 0.0000 0.0000 0.0000 1
Er1 0.0000 0.2256 0.5000 1
Er2 0.0000 0.2642 0.1698 1
In1 0.0000 0.0000 0.3213 1
In2 0.0000 0.5000 0.0000 1
In3 0.0000 0.5000 0.3470 1
```

Values from the calculation:
Uncorrected energy: -0.1538 hartree per atom
Magnetic moment: 0.0 μB/f.u.

***

(3)
VASP calculation (GGA-PBE) on crystalline Pr3Dy4Tl2 at its relaxed geometry.

Cell and atoms, written as CIF:
```
data_Pr3Dy4Tl2
_symmetry_space_group_name_H-M 'C 1 2/c 1'
_symmetry_Int_Tables_number 15
_cell_length_a 14.2434
_cell_length_b 12.6928
_cell_length_c 6.5137
_cell_angle_alpha 90.00
_cell_angle_beta 100.17
_cell_angle_gamma 90.00
loop_
_symmetry_equiv_pos_as_xyz
'x,y,z'
'-x,-y,-z'
'-x,y,-z+1/2'
'x,-y,z+1/2'
'x+1/2,y+1/2,z'
'-x+1/2,-y+1/2,-z'
'-x+1/2,y+1/2,-z+1/2'
'x+1/2,-y+1/2,z+1/2'
loop_
_atom_site_label
_atom_site_fract_x
_atom_site_fract_y
_atom_site_fract_z
_atom_site_occupancy
Pr1 0.0000 0.0299 0.2500 1
Pr2 0.1062 0.4352 0.0779 1
Dy1 0.0865 0.2749 0.5716 1
Dy2 0.1806 0.1648 0.0891 1
Tl1 0.2153 0.0859 0.5670 1
```

Values from the calculation:
Uncorrected energy: -0.1554 hartree per atom
Magnetic moment: 0.0 μB/f.u.

***

(4)
VASP calculation (GGA-PBE) on crystalline CsNa2MgHg at its relaxed geometry.

Cell and atoms, written as CIF:
```
data_CsNa2MgHg
_symmetry_space_group_name_H-M 'P 4/m m m'
_symmetry_Int_Tables_number 123
_symmetry_space_group_name_Hall '-P 4 2'
_cell_length_a 5.9776
_cell_length_b 5.9776
_cell_length_c 6.9526
_cell_angle_alpha 90.00
_cell_angle_beta 90.00
_cell_angle_gamma 90.00
loop_
_atom_site_label
_atom_site_fract_x
_atom_site_fract_y
_atom_site_fract_z
_atom_site_occupancy
Cs1 0.0000 0.0000 0.0000 1
Na1 0.0000 0.5000 0.5000 1
Mg1 0.5000 0.5000 0.0000 1
Hg1 0.0000 0.0000 0.5000 1
```

Values from the calculation:
Magnetic moment: 0.0 μB/f.u.
ΔE to the lowest computed polymorph: 0.93 eV per formula unit

***

Question: magnetic moment of number 1 (Li2TeN2)?
Answer: 0.0 μB/f.u.

***

Question: Number 3 is which compound?
Answer: Pr3Dy4Tl2

***

Please write out number 4 again, unchanged.
VASP calculation (GGA-PBE) on crystalline CsNa2MgHg at its relaxed geometry.

Cell and atoms, written as CIF:
```
data_CsNa2MgHg
_symmetry_space_group_name_H-M 'P 4/m m m'
_symmetry_Int_Tables_number 123
_symmetry_space_group_name_Hall '-P 4 2'
_cell_length_a 5.9776
_cell_length_b 5.9776
_cell_length_c 6.9526
_cell_angle_alpha 90.00
_cell_angle_beta 90.00
_cell_angle_gamma 90.00
loop_
_atom_site_label
_atom_site_fract_x
_atom_site_fract_y
_atom_site_fract_z
_atom_site_occupancy
Cs1 0.0000 0.0000 0.0000 1
Na1 0.0000 0.5000 0.5000 1
Mg1 0.5000 0.5000 0.0000 1
Hg1 0.0000 0.0000 0.5000 1
```

Values from the calculation:
Magnetic moment: 0.0 μB/f.u.
ΔE to the lowest computed polymorph: 0.93 eV per formula unit